Entry 1:
HgBAsO: relaxed, PBE-GGA.

The crystal system is orthorhombic. As for the uncorrected energy: -4.84 eV/atom.

The structure belongs to space group Pmc2_1 (No. 26); the cell edges are 3.527, 8.368 and 4.664 Å and the angles 90.00°, 90.00° and 90.00°. Symmetry generates all atoms from Hg at (0.000, 0.134, 0.000), B at (0.500, 0.420, 0.549), As at (0.000, 0.263, 0.498) and O at (0.500, 0.458, 0.844).

---

Entry 2:
HoB4As: relaxed, PBE-GGA.

The crystal system is hexagonal. The total magnetic moment comes out at 0.00 μB/atom. As for the uncorrected energy: -5.92 eV/atom.

The structure belongs to space group P6/mmm (No. 191); the cell edges are 3.1715, 3.1715 and 7.5903 Å and the angles 90.00°, 90.00° and 120.00°. Symmetry generates all atoms from Ho at (0.0000, 0.0000, 0.0000), B at (0.3333, 0.6667, 0.2542) and As at (0.0000, 0.0000, 0.5000).

---

Entry 3:
HoB4As: relaxed, PBE-GGA.

The crystal system is orthorhombic. The total magnetic moment comes out at 0.00 μB/atom. As for the uncorrected energy: -6.05 eV/atom.

The structure belongs to space group Immm (No. 71); the cell edges are 3.165, 4.975 and 8.522 Å and the angles 90.00°, 90.00° and 90.00°. Symmetry generates all atoms from Ho at (0.000, 0.000, 0.000), B at (0.000, 0.315, 0.271) and As at (0.000, 0.000, 0.500).

---

Entry 4:
SmHoB2As2Ir2: relaxed, PBE-GGA.

The crystal system is tetragonal. The total magnetic moment comes out at 0.00 μB/atom. As for the uncorrected energy: -7.07 eV/atom.

The structure belongs to space group P4mm (No. 99); the cell edges are 3.985, 3.985 and 8.648 Å and the angles 90.00°, 90.00° and 90.00°. Symmetry generates all atoms from Sm at (0.000, 0.000, 0.000), Ho at (0.500, 0.500, 0.420), B at (0.000, 0.000, 0.605), B at (0.500, 0.500, 0.818), As at (0.000, 0.000, 0.358), As at (0.500, 0.500, 0.069) and Ir at (0.000, 0.500, 0.709).

---

Entry 5:
YHoB2As2Ir2: relaxed, PBE-GGA.

The crystal system is tetragonal. The total magnetic moment comes out at 0.00 μB/atom. As for the uncorrected energy: -7.29 eV/atom.

The structure belongs to space group P4mm (No. 99); the cell edges are 3.958, 3.958 and 8.660 Å and the angles 90.00°, 90.00° and 90.00°. Symmetry generates all atoms from Y at (0.000, 0.000, 0.000), Ho at (0.500, 0.500, 0.423), B at (0.000, 0.000, 0.603), B at (0.500, 0.500, 0.818), As at (0.000, 0.000, 0.355), As at (0.500, 0.500, 0.068) and Ir at (0.000, 0.500, 0.710).

---

Entry 6:
TbHoNi2B2As2: relaxed, PBE-GGA.

The crystal system is tetragonal. The total magnetic moment comes out at 0.00 μB/atom. As for the uncorrected energy: -6.02 eV/atom.

The structure belongs to space group P4mm (No. 99); the cell edges are 3.926, 3.926 and 8.170 Å and the angles 90.00°, 90.00° and 90.00°. Symmetry generates all atoms from Tb at (0.000, 0.000, 0.000), Ho at (0.500, 0.500, 0.454), Ni at (0.000, 0.500, 0.726), B at (0.000, 0.000, 0.637), B at (0.500, 0.500, 0.818), As at (0.000, 0.000, 0.378) and As at (0.500, 0.500, 0.078).

---

Entry 7:
Tb2HoNi2B2As3: relaxed, PBE-GGA.

The crystal system is tetragonal. The total magnetic moment comes out at 0.00 μB/atom. As for the uncorrected energy: -6.03 eV/atom.

The structure belongs to space group I4/mmm (No. 139); the cell edges are 4.022, 4.022 and 21.845 Å and the angles 90.00°, 90.00° and 90.00°. Symmetry generates all atoms from Tb at (0.000, 0.000, 0.142), Ho at (0.000, 0.000, 0.500), Ni at (0.000, 0.500, 0.250), B at (0.000, 0.000, 0.276), As at (0.000, 0.000, 0.000) and As at (0.000, 0.000, 0.372).

---

Entry 8:
HoTmNi2B2As2: relaxed, PBE-GGA.

The crystal system is tetragonal. The total magnetic moment comes out at 0.00 μB/atom. As for the uncorrected energy: -6.00 eV/atom.

The structure belongs to space group P4mm (No. 99); the cell edges are 3.882, 3.882 and 8.265 Å and the angles 90.00°, 90.00° and 90.00°. Symmetry generates all atoms from Ho at (0.000, 0.000, 0.000), Tm at (0.500, 0.500, 0.465), Ni at (0.000, 0.500, 0.732), B at (0.000, 0.000, 0.641), B at (0.500, 0.500, 0.825), As at (0.000, 0.000, 0.384) and As at (0.500, 0.500, 0.082).

---

Entry 9:
Y2HoNi2B2As3: relaxed, PBE-GGA.

The crystal system is tetragonal. The total magnetic moment comes out at 0.00 μB/atom. As for the uncorrected energy: -6.40 eV/atom.

The structure belongs to space group I4/mmm (No. 139); the cell edges are 4.013, 4.013 and 21.870 Å and the angles 90.00°, 90.00° and 90.00°. Symmetry generates all atoms from Y at (0.000, 0.000, 0.142), Ho at (0.000, 0.000, 0.500), Ni at (0.000, 0.500, 0.250), B at (0.000, 0.000, 0.276), As at (0.000, 0.000, 0.000) and As at (0.000, 0.000, 0.372).

---

Entry 10:
YHoNi2B2As2: relaxed, PBE-GGA.

The crystal system is tetragonal. The total magnetic moment comes out at 0.00 μB/atom. As for the uncorrected energy: -6.25 eV/atom.

The structure belongs to space group P4mm (No. 99); the cell edges are 3.934, 3.934 and 8.218 Å and the angles 90.00°, 90.00° and 90.00°. Symmetry generates all atoms from Y at (0.000, 0.000, 0.000), Ho at (0.500, 0.500, 0.544), Ni at (0.000, 0.500, 0.273), B at (0.000, 0.000, 0.360), B at (0.500, 0.500, 0.185), As at (0.000, 0.000, 0.618) and As at (0.500, 0.500, 0.927).

---

Entry 11:
Nb4InB2As: relaxed, PBE-GGA.

The crystal system is hexagonal. The total magnetic moment comes out at 0.00 μB/atom. As for the uncorrected energy: -8.18 eV/atom.

The structure belongs to space group P-6m2 (No. 187); the cell edges are 3.3276, 3.3276 and 13.2586 Å and the angles 90.00°, 90.00° and 120.00°. Symmetry generates all atoms from Nb at (0.0000, 0.0000, 0.1379), Nb at (0.6667, 0.3333, 0.3223), In at (0.0000, 0.0000, 0.5000), B at (0.3333, 0.6667, 0.2332) and As at (0.6667, 0.3333, 0.0000).

---

Entry 12:
BAs2Ir: relaxed, PBE-GGA.

The crystal system is cubic. The total magnetic moment comes out at 0.00 μB/atom. As for the uncorrected energy: -5.26 eV/atom.

The structure belongs to space group F-43m (No. 216); the cell edges are 6.132, 6.132 and 6.132 Å and the angles 90.00°, 90.00° and 90.00°. Symmetry generates all atoms from B at (0.000, 0.000, 0.000), As at (0.000, 0.000, 0.500), As at (0.250, 0.250, 0.750) and Ir at (0.250, 0.250, 0.250).

---

Question: uncorrected energy of number 4 (SmHoB2As2Ir2)?
Answer: -7.07 eV/atom